No. 1
Computed, not measured: Cu2HgCl after structural relaxation at the GGA-PBE level of DFT.

Cell and atoms, written as POSCAR:
```
Cu2HgCl
1.0
3.156 0.000 0.000
0.000 3.156 0.000
0.000 0.000 7.616
Cu Hg Cl
2 1 1
Direct
0.000 0.000 0.000
0.500 0.500 0.177
0.000 0.000 0.395
0.500 0.500 0.830
```

Computed properties:
Raw total energy (eV/atom): -2.52
Volume (Å³ per cell): 75.87



No. 2
Computed, not measured: CuHg2Cl after structural relaxation at the GGA-PBE level of DFT.

Cell and atoms, written as POSCAR:
```
CuHg2Cl
1.0
-2.242 2.242 4.358
2.242 -2.242 4.358
2.242 2.242 -4.358
Cu Hg Cl
1 2 1
Direct
0.000 0.000 0.000
0.250 0.750 0.500
0.500 0.500 0.000
0.750 0.250 0.500
```

Computed properties:
Raw total energy (eV/atom): -1.43
Volume (Å³ per cell): 87.64



No. 3
Computed, not measured: CuHg2Cl after structural relaxation at the GGA-PBE level of DFT.

Cell and atoms, written as POSCAR:
```
CuHg2Cl
1.0
1.764 -3.139 0.000
1.764 3.139 0.000
0.000 0.000 8.389
Cu Hg Cl
1 2 1
Direct
0.000 0.000 0.000
0.500 0.500 0.233
0.500 0.500 0.767
0.000 0.000 0.500
```

Computed properties:
Raw total energy (eV/atom): -1.63
Volume (Å³ per cell): 92.91



No. 4
Computed, not measured: CuHg2Cl after structural relaxation at the GGA-PBE level of DFT.

Cell and atoms, written as POSCAR:
```
CuHg2Cl
1.0
5.522 -1.801 0.000
5.522 1.801 0.000
-2.604 0.000 5.484
Cu Hg Cl
1 2 1
Direct
0.000 0.000 0.000
0.644 0.644 0.856
0.818 0.818 0.536
0.463 0.463 0.194
```

Computed properties:
Raw total energy (eV/atom): -1.78
Volume (Å³ per cell): 109.05



No. 5
Computed, not measured: CuHgCl6 after structural relaxation at the GGA-PBE level of DFT.

Cell and atoms, written as POSCAR:
```
CuHgCl6
1.0
6.107 0.000 0.000
2.009 6.469 0.000
2.367 -0.612 6.983
Cu Hg Cl
1 1 6
Direct
0.000 0.000 0.000
0.000 0.500 0.500
0.145 0.688 0.858
0.173 0.177 0.582
0.409 0.900 0.958
0.591 0.100 0.042
0.827 0.823 0.418
0.855 0.312 0.142
```

Computed properties:
Raw total energy (eV/atom): -2.27
Volume (Å³ per cell): 275.90



No. 6
Computed, not measured: CuHgCl after structural relaxation at the GGA-PBE level of DFT.

Cell and atoms, written as POSCAR:
```
CuHgCl
1.0
3.649 0.000 0.000
-1.825 3.160 0.000
0.000 0.000 5.883
Cu Hg Cl
1 1 1
Direct
0.000 0.000 0.000
0.667 0.333 0.311
0.333 0.667 0.811
```

Computed properties:
Raw total energy (eV/atom): -2.31
Volume (Å³ per cell): 67.85